Record 1
Density functional theory data (meta-GGA SCAN) for a PBEsol-optimized structure of TaCd2W.

Calculated values
The value obtained for the calculated formation energy is 2.06 eV/f.u. For the polymorph energy (0 for the lowest one), the calculation gives 101 meV per atom. The theoretical density comes out at 13.373 g cm⁻³.

Lattice parameters (Å, degrees): 3.168 4.921 5.533 116.41 106.63 90.00
Element x y z (fractional)
Cd1 0.995 0.995 0.991
Cd2 0.751 0.251 0.501
Ta1 0.520 0.520 0.040
W1 0.234 0.734 0.468

***

Record 2
Density functional theory data (meta-GGA SCAN) for a PBEsol-optimized structure of Ta2CdW.

Calculated values
The value obtained for the calculated formation energy is 1.47 eV/f.u. The theoretical density comes out at 15.611 g cm⁻³.

Lattice parameters (Å, degrees): 2.779 5.029 5.249 96.44 90.00 106.04
Element x y z (fractional)
Cd1 0.751 0.502 0.249
W1 0.497 0.995 0.507
Ta1 0.002 0.004 0.000
Ta2 0.250 0.499 0.744

***

Record 3
Density functional theory data (meta-GGA SCAN) for a PBEsol-optimized structure of TaCdW.

Calculated values
The value obtained for the calculated formation energy is 1.39 eV/f.u. For the polymorph energy (0 for the lowest one), the calculation gives 0 meV per atom. The theoretical density comes out at 15.045 g cm⁻³.

Lattice parameters (Å, degrees): 2.844 2.844 7.518 90.00 90.00 120.00
Element x y z (fractional)
Cd1 0.000 0.000 0.003
W1 0.667 0.333 0.335
Ta1 0.333 0.667 0.662

***

no.,total magnetization (μB per formula unit),calculated volume (Å³/f.u.)
1,0.00,73.21
2,0.00,70.01
3,0.00,52.67